## LaMg2Al (PBE)

Data for a relaxed LaMg2Al crystal.

For the total energy, the calculation gives -0.228 Ry per atom. For the volume, the calculation gives 25.03 Å³/atom. For the formation energy from the elements, the calculation gives -0.5 eV per formula unit.

The structure belongs to space group P4mm (No. 99); the cell edges are 3.5390, 3.5390 and 7.9942 Å and the angles 90.00°, 90.00° and 90.00°. Symmetry generates all atoms from La at (0.0000, 0.0000, 0.0000), Mg at (0.0000, 0.0000, 0.5406), Mg at (0.5000, 0.5000, 0.3136) and Al at (0.5000, 0.5000, 0.7324).